Entry 1:
A plane-wave DFT calculation with GGA-PBE was carried out for a relaxed structure of BC2.

Energy above the most stable polymorph in this dataset = 0.138 eV per atom
Spin magnetization = 0.000 μB/atom
Formation enthalpy at 0 K = 0.378 eV/atom

POSCAR file:
```
BC2
1.0
5.748 -1.276 0.000
5.748 1.276 0.000
-0.995 0.000 5.175
B C
4 8
Direct
0.125 0.125 0.199
0.206 0.206 0.934
0.794 0.794 0.066
0.875 0.875 0.801
0.120 0.120 0.668
0.211 0.211 0.480
0.458 0.458 0.361
0.465 0.465 0.860
0.535 0.535 0.140
0.542 0.542 0.639
0.789 0.789 0.520
0.880 0.880 0.332
```


Entry 2:
A plane-wave DFT calculation with GGA-PBE was carried out for a relaxed structure of Ba2Pb2F.

Energy above the most stable polymorph in this dataset = 0.322 eV per atom
Spin magnetization = 0.000 μB/atom
Energy relative to the elements, uncorrected = -856 meV per atom

POSCAR file:
```
Ba2Pb2F
1.0
9.259 0.000 0.000
0.000 9.259 0.000
0.000 0.000 4.744
Ba Pb F
4 4 2
Direct
0.187 0.313 0.000
0.313 0.813 0.000
0.687 0.187 0.000
0.813 0.687 0.000
0.110 0.610 0.500
0.390 0.110 0.500
0.610 0.890 0.500
0.890 0.390 0.500
0.000 0.000 0.500
0.500 0.500 0.500
```


Entry 3:
A plane-wave DFT calculation with GGA-PBE was carried out for a relaxed structure of NpNb2Sb3.

Spin magnetization = 0.738 μB/atom
Energy relative to the elements, uncorrected = -122 meV per atom

POSCAR file:
```
NpNb2Sb3
1.0
4.542 0.000 0.000
0.000 9.353 0.000
0.000 0.000 6.656
Np Nb Sb
2 4 6
Direct
0.000 0.085 0.000
0.000 0.915 0.500
0.000 0.265 0.483
0.000 0.735 0.983
0.500 0.442 0.551
0.500 0.558 0.051
0.000 0.421 0.855
0.000 0.579 0.355
0.500 0.127 0.673
0.500 0.261 0.205
0.500 0.739 0.705
0.500 0.873 0.173
```


Entry 4:
A plane-wave DFT calculation with GGA-PBE was carried out for a relaxed structure of La2TmGa4Pd3.

Spin magnetization = 0.000 μB/atom
Formation enthalpy at 0 K = -0.753 eV/atom

POSCAR file:
```
La2TmGa4Pd3
1.0
4.274 0.000 0.000
0.000 4.274 0.000
0.000 0.000 11.792
La Tm Ga Pd
2 1 4 3
Direct
0.000 0.500 0.227
0.500 0.000 0.773
0.000 0.000 0.500
0.000 0.000 0.000
0.000 0.500 0.664
0.500 0.000 0.336
0.500 0.500 0.000
0.000 0.500 0.877
0.500 0.000 0.123
0.500 0.500 0.500
```


Entry 5:
A plane-wave DFT calculation with GGA-PBE was carried out for a relaxed structure of TbPm5Ho2Tm.

Spin magnetization = 0.000 μB/atom
Formation enthalpy at 0 K = 0.147 eV/atom

POSCAR file:
```
TbPm5Ho2Tm
1.0
2.819 -10.102 0.000
2.819 10.102 0.000
0.000 0.000 10.641
Tb Pm Ho Tm
2 10 4 2
Direct
0.090 0.910 0.500
0.910 0.090 0.000
0.018 0.982 0.783
0.115 0.885 0.062
0.202 0.798 0.747
0.220 0.780 0.353
0.483 0.517 0.058
0.517 0.483 0.558
0.780 0.220 0.853
0.798 0.202 0.247
0.885 0.115 0.562
0.982 0.018 0.283
0.385 0.615 0.353
0.388 0.612 0.778
0.612 0.388 0.278
0.615 0.385 0.853
0.301 0.699 0.051
0.699 0.301 0.551
```


Entry 6:
A plane-wave DFT calculation with GGA-PBE was carried out for a relaxed structure of Nd2AlCo3Ni12.

Spin magnetization = 0.442 μB/atom
Formation enthalpy at 0 K = 0.058 eV/atom

POSCAR file:
```
Nd2AlCo3Ni12
1.0
4.166 2.405 4.022
-4.166 2.405 4.022
0.000 -4.811 4.022
Nd Al Co Ni
2 1 3 12
Direct
0.225 0.225 0.225
0.775 0.775 0.775
0.500 0.500 0.500
0.000 0.500 0.500
0.500 0.000 0.500
0.500 0.500 0.000
0.080 0.080 0.650
0.080 0.650 0.080
0.232 0.698 0.698
0.302 0.302 0.768
0.302 0.768 0.302
0.350 0.920 0.920
0.650 0.080 0.080
0.698 0.232 0.698
0.698 0.698 0.232
0.768 0.302 0.302
0.920 0.350 0.920
0.920 0.920 0.350
```


Entry 7:
A plane-wave DFT calculation with GGA-PBE was carried out for a relaxed structure of CrTc4Te.

Spin magnetization = 0.388 μB/atom
Energy relative to the elements, uncorrected = 597 meV per atom

POSCAR file:
```
CrTc4Te
1.0
0.000 3.682 3.682
3.682 0.000 3.682
3.682 3.682 0.000
Cr Tc Te
1 4 1
Direct
0.000 0.000 0.000
0.123 0.626 0.626
0.626 0.123 0.626
0.626 0.626 0.123
0.626 0.626 0.626
0.250 0.250 0.250
```


Entry 8:
A plane-wave DFT calculation with GGA-PBE was carried out for a relaxed structure of NdH8Pd2Rh3.

Spin magnetization = 0.000 μB/atom
Calculated total energy = -4.8338 eV per atom

POSCAR file:
```
NdH8Pd2Rh3
1.0
2.846 1.643 4.717
-2.846 1.643 4.717
0.000 -3.286 4.717
Nd H Pd Rh
1 8 2 3
Direct
0.000 0.000 0.000
0.371 0.371 0.848
0.371 0.848 0.371
0.386 0.386 0.386
0.480 0.851 0.851
0.842 0.842 0.842
0.848 0.371 0.371
0.851 0.480 0.851
0.851 0.851 0.480
0.254 0.254 0.254
0.623 0.623 0.623
0.132 0.623 0.623
0.623 0.132 0.623
0.623 0.623 0.132
```


Entry 9:
A plane-wave DFT calculation with GGA-PBE was carried out for a relaxed structure of LaSnBi3.

Energy above the most stable polymorph in this dataset = 0.000 eV per atom
Spin magnetization = 0.000 μB/atom
Formation enthalpy at 0 K = -0.399 eV/atom

POSCAR file:
```
LaSnBi3
1.0
14.762 0.000 0.000
0.000 6.477 0.000
0.000 0.000 6.721
La Sn Bi
4 4 12
Direct
0.177 0.005 0.250
0.177 0.495 0.750
0.823 0.505 0.250
0.823 0.995 0.750
0.385 0.250 0.000
0.385 0.250 0.500
0.615 0.750 0.000
0.615 0.750 0.500
0.000 0.250 0.000
0.000 0.250 0.500
0.000 0.750 0.000
0.000 0.750 0.500
0.224 0.508 0.250
0.224 0.992 0.750
0.409 0.716 0.750
0.409 0.784 0.250
0.591 0.216 0.750
0.591 0.284 0.250
0.776 0.008 0.250
0.776 0.492 0.750
```


Entry 10:
A plane-wave DFT calculation with GGA-PBE was carried out for a relaxed structure of ZrAs.

Spin magnetization = 0.000 μB/atom
Formation enthalpy at 0 K = -0.838 eV/atom

POSCAR file:
```
ZrAs
1.0
4.636 0.000 0.000
-2.318 4.015 0.000
0.000 0.000 5.390
Zr As
2 2
Direct
0.333 0.667 0.250
0.667 0.333 0.750
0.333 0.667 0.750
0.667 0.333 0.250
```


Entry 11:
A plane-wave DFT calculation with GGA-PBE was carried out for a relaxed structure of Na6Tl2Au.

Energy above the most stable polymorph in this dataset = 0.014 eV per atom
Spin magnetization = 0.000 μB/atom
Formation enthalpy at 0 K = -0.119 eV/atom

POSCAR file:
```
Na6Tl2Au
1.0
2.716 1.568 10.461
-2.716 1.568 10.461
0.000 -3.137 10.461
Na Tl Au
6 2 1
Direct
0.078 0.078 0.078
0.194 0.194 0.194
0.308 0.308 0.308
0.692 0.692 0.692
0.806 0.806 0.806
0.922 0.922 0.922
0.411 0.411 0.411
0.589 0.589 0.589
0.500 0.500 0.500
```


Entry 12:
A plane-wave DFT calculation with GGA-PBE was carried out for a relaxed structure of MgTlSCl2.

Energy above the most stable polymorph in this dataset = 0.716 eV per atom
Spin magnetization = 0.000 μB/atom
Energy relative to the elements, uncorrected = -238 meV per atom

POSCAR file:
```
MgTlSCl2
1.0
5.311 0.000 0.000
0.000 5.311 0.000
0.000 0.000 5.195
Mg Tl S Cl
1 1 1 2
Direct
0.000 0.000 0.000
0.500 0.500 0.500
0.500 0.500 0.000
0.000 0.500 0.500
0.500 0.000 0.500
```